Entry from the Alexandria database: a crystal of InSi2P relaxed with PBEsol (SCAN).

E   -15.623 eV/atom
Space-group type   Cmmm
ΔE_f (raw)   331 meV per atom
M_tot   0.00 Bohr magnetons per cell

Structure (CIF):
```
data_InSi2P
_symmetry_space_group_name_H-M 'P 1'
_symmetry_Int_Tables_number 1
_cell_length_a 4.853
_cell_length_b 4.853
_cell_length_c 3.332
_cell_angle_alpha 90.00
_cell_angle_beta 90.00
_cell_angle_gamma 114.13
loop_
_symmetry_equiv_pos_as_xyz
'x,y,z'
loop_
_atom_site_label
_atom_site_type_symbol
_atom_site_fract_x
_atom_site_fract_y
_atom_site_fract_z
In1 In 0.000 0.000 0.000
Si1 Si 0.283 0.717 0.500
Si2 Si 0.717 0.283 0.500
P1 P 0.500 0.500 0.000
```